Entry P
# PBE-GGA Cd3InAu3, relaxed
# Magnetic moment, μB per atom: 0.000
# Crystal system: cubic
# ρ, g/cm³: 7.655
data_Cd3InAu3
_chemical_formula_sum 'Cd6 In2 Au6'
_space_group_name_H-M_alt 'P m -3 n'
_space_group_IT_number 223
_space_group_name_Hall '-P 4n 2 3'
_cell_length_a 7.677
_cell_length_b 7.677
_cell_length_c 7.677
_cell_angle_alpha 90.00
_cell_angle_beta 90.00
_cell_angle_gamma 90.00
loop_
_atom_site_label
_atom_site_fract_x
_atom_site_fract_y
_atom_site_fract_z
Cd1 0.000 0.250 0.500
In1 0.000 0.000 0.000
Au1 0.000 0.500 0.250

Entry Q
# PBE-GGA Cd3InAu3, relaxed
# Magnetic moment, μB per atom: 0.000
# Crystal system: trigonal
# ρ, g/cm³: 11.339
data_Cd3InAu3
_chemical_formula_sum 'Cd9 In3 Au9'
_space_group_name_H-M_alt 'R 3 m'
_space_group_IT_number 160
_space_group_name_Hall 'R 3 -2"'
_cell_length_a 9.5403
_cell_length_b 9.5403
_cell_length_c 5.8131
_cell_angle_alpha 90.00
_cell_angle_beta 90.00
_cell_angle_gamma 120.00
loop_
_atom_site_label
_atom_site_fract_x
_atom_site_fract_y
_atom_site_fract_z
Cd1 0.9999 0.4999 0.0000
In1 0.0000 0.0000 0.0010
Au1 0.0001 0.5001 0.4999

Entry R
# PBE-GGA Cd3InAu3, relaxed
# Magnetic moment, μB per atom: 0.000
# Crystal system: orthorhombic
# ρ, g/cm³: 11.613
data_Cd3InAu3
_chemical_formula_sum 'Cd12 In4 Au12'
_space_group_name_H-M_alt 'C m m m'
_space_group_IT_number 65
_space_group_name_Hall '-C 2 2'
_cell_length_a 9.389
_cell_length_b 9.416
_cell_length_c 6.747
_cell_angle_alpha 90.00
_cell_angle_beta 90.00
_cell_angle_gamma 90.00
loop_
_atom_site_label
_atom_site_fract_x
_atom_site_fract_y
_atom_site_fract_z
Cd1 0.000 0.239 0.000
Cd2 0.229 0.000 0.500
Cd3 0.237 0.000 0.000
In1 0.000 0.233 0.500
Au1 0.000 0.500 0.264
Au2 0.250 0.250 0.248

Energies, relative to the best one, in meV per atom: entry P 387; entry Q 13; entry R 0.

Entry P
# PBE-GGA Cd3InAu, relaxed
# Magnetic moment, μB per atom: 0.000
# Crystal system: cubic
# ρ, g/cm³: 7.206
data_Cd3InAu
_chemical_formula_sum 'Cd3 In1 Au1'
_space_group_name_H-M_alt 'P m -3 m'
_space_group_IT_number 221
_space_group_name_Hall '-P 4 2 3'
_cell_length_a 5.308
_cell_length_b 5.308
_cell_length_c 5.308
_cell_angle_alpha 90.00
_cell_angle_beta 90.00
_cell_angle_gamma 90.00
loop_
_atom_site_label
_atom_site_fract_x
_atom_site_fract_y
_atom_site_fract_z
Cd1 0.000 0.000 0.500
In1 0.500 0.500 0.500
Au1 0.000 0.000 0.000

Entry Q
# PBE-GGA Cd3InAu, relaxed
# Magnetic moment, μB per atom: 0.000
# Crystal system: hexagonal
# ρ, g/cm³: 8.566
data_Cd3InAu
_chemical_formula_sum 'Cd6 In2 Au2'
_space_group_name_H-M_alt 'P 63/m m c'
_space_group_IT_number 194
_space_group_name_Hall '-P 6c 2c'
_cell_length_a 7.2606
_cell_length_b 7.2606
_cell_length_c 5.5115
_cell_angle_alpha 90.00
_cell_angle_beta 90.00
_cell_angle_gamma 120.00
loop_
_atom_site_label
_atom_site_fract_x
_atom_site_fract_y
_atom_site_fract_z
Cd1 0.1964 0.3928 0.2500
In1 0.3333 0.6667 0.7500
Au1 0.0000 0.0000 0.0000

Energies, relative to the best one, in meV per atom: entry P 81; entry Q 0.

Entry P
# PBE-GGA Cd3In2Au4, relaxed
# Magnetic moment, μB per atom: 0.000
# Crystal system: monoclinic
# ρ, g/cm³: 11.709
data_Cd3In2Au4
_chemical_formula_sum 'Cd6 In4 Au8'
_space_group_name_H-M_alt 'C 1 2/m 1'
_space_group_IT_number 12
_cell_length_a 8.324
_cell_length_b 4.729
_cell_length_c 10.104
_cell_angle_alpha 90.00
_cell_angle_beta 104.94
_cell_angle_gamma 90.00
loop_
_space_group_symop_operation_xyz
'x,y,z'
'-x,-y,-z'
'-x,y,-z'
'x,-y,z'
'x+1/2,y+1/2,z'
'-x+1/2,-y+1/2,-z'
'-x+1/2,y+1/2,-z'
'x+1/2,-y+1/2,z'
loop_
_atom_site_label
_atom_site_fract_x
_atom_site_fract_y
_atom_site_fract_z
Cd1 0.000 0.000 0.000
Cd2 0.094 0.500 0.793
In1 0.196 0.000 0.601
Au1 0.109 0.000 0.313
Au2 0.199 0.500 0.095

Entry Q
# PBE-GGA Cd3In2Au4, relaxed
# Magnetic moment, μB per atom: 0.000
# Crystal system: monoclinic
# ρ, g/cm³: 11.303
data_Cd3In2Au4
_chemical_formula_sum 'Cd6 In4 Au8'
_space_group_name_H-M_alt 'C 1 2/m 1'
_space_group_IT_number 12
_cell_length_a 9.561
_cell_length_b 4.466
_cell_length_c 9.501
_cell_angle_alpha 90.00
_cell_angle_beta 101.15
_cell_angle_gamma 90.00
loop_
_space_group_symop_operation_xyz
'x,y,z'
'-x,-y,-z'
'-x,y,-z'
'x,-y,z'
'x+1/2,y+1/2,z'
'-x+1/2,-y+1/2,-z'
'-x+1/2,y+1/2,-z'
'x+1/2,-y+1/2,z'
loop_
_atom_site_label
_atom_site_fract_x
_atom_site_fract_y
_atom_site_fract_z
Cd1 0.000 0.000 0.000
Cd2 0.127 0.500 0.431
In1 0.153 0.500 0.822
Au1 0.095 0.000 0.630
Au2 0.157 0.500 0.133

Energies, relative to the best one, in meV per atom: entry P 0; entry Q 41.